First-principles (GGA-PBE) data for a geometry-optimized VPbSe2N structure, as listed in Alexandria.

Cell lengths 5.3445, 5.3445, 4.1832 Å; angles 90.00, 90.00, 90.00 degrees
Positions (direct):
V1 0.0000 0.0000 0.0000
Pb1 0.5000 0.5000 0.5000
Se1 0.0000 0.5000 0.5000
Se2 0.5000 0.0000 0.5000
N1 0.5000 0.5000 0.0000

Results
Crystal system: tetragonal
Raw formation energy in eV/atom: 1.473
D(E_F) in states/eV/cell: 7.94
Calculated density in g/cm³: 6.0

First-principles (GGA-PBE) data for a geometry-optimized VPbSeN2 structure, as listed in Alexandria.

Cell lengths 4.2796, 4.2796, 5.6843 Å; angles 90.00, 90.00, 90.00 degrees
Positions (direct):
V1 0.0000 0.0000 0.0000
Pb1 0.5000 0.5000 0.5000
Se1 0.5000 0.5000 0.0000
N1 0.0000 0.5000 0.5000
N2 0.5000 0.0000 0.5000

Results
Crystal system: tetragonal
Raw formation energy in eV/atom: 1.984
D(E_F) in states/eV/cell: 7.70
Calculated density in g/cm³: 5.8
Polymorph energy (0 for the lowest one) in meV per atom: 0

First-principles (GGA-PBE) data for a geometry-optimized VPbSeN2 structure, as listed in Alexandria.

Cell lengths 3.8412, 3.8412, 6.2970 Å; angles 90.00, 90.00, 90.00 degrees
Positions (direct):
V1 0.0000 0.0000 0.0000
Pb1 0.5000 0.5000 0.0000
Se1 0.5000 0.5000 0.5000
N1 0.0000 0.5000 0.5000
N2 0.5000 0.0000 0.5000

Results
Crystal system: tetragonal
Raw formation energy in eV/atom: 1.996
D(E_F) in states/eV/cell: 7.54
Calculated density in g/cm³: 6.5
Polymorph energy (0 for the lowest one) in meV per atom: 12

First-principles (GGA-PBE) data for a geometry-optimized PbWSe2N structure, as listed in Alexandria.

Cell lengths 5.3650, 5.3650, 4.1990 Å; angles 90.00, 90.00, 90.00 degrees
Positions (direct):
Pb1 0.0000 0.0000 0.0000
W1 0.5000 0.5000 0.5000
Se1 0.0000 0.5000 0.0000
Se2 0.5000 0.0000 0.0000
N1 0.0000 0.0000 0.5000

Results
Crystal system: tetragonal
Raw formation energy in eV/atom: 2.121
D(E_F) in states/eV/cell: 7.28
Calculated density in g/cm³: 7.7